1.
Crystalline Rb2VSe2 at its relaxed geometry. Source: Alexandria, functional PBE.

```
data_Rb2VSe2
_chemical_formula_sum 'Rb4 V2 Se4'
_symmetry_space_group_name_H-M 'P 1'
_symmetry_Int_Tables_number 1
_cell_length_a 6.404
_cell_length_b 7.669
_cell_length_c 8.478
_cell_angle_alpha 116.89
_cell_angle_beta 112.19
_cell_angle_gamma 90.00
loop_
_symmetry_equiv_pos_as_xyz
'x,y,z'
loop_
_atom_site_label
_atom_site_fract_x
_atom_site_fract_y
_atom_site_fract_z
Rb1 0.146 0.301 0.293
Se1 0.099 0.786 0.199
V1 0.750 0.500 0.000
Rb2 0.854 0.699 0.707
Se2 0.901 0.214 0.801
Rb3 0.354 0.008 0.707
Se3 0.599 0.413 0.199
V2 0.250 0.500 0.000
Se4 0.401 0.587 0.801
Rb4 0.646 0.992 0.293
```

Fermi-level density of states = 4.2 states/eV per cell
space-group type = Ibam, No. 72
spin magnetization = 3.00 μB/f.u.
E = -4.445 eV/atom
formation energy without anion corrections = -0.841 eV/atom

=====

2.
Crystalline MgRh3C at its relaxed geometry. Source: Alexandria, functional PBE.

```
data_MgRh3C
_chemical_formula_sum 'Mg2 Rh6 C2'
_symmetry_space_group_name_H-M 'P 1'
_symmetry_Int_Tables_number 1
_cell_length_a 4.117
_cell_length_b 5.647
_cell_length_c 6.501
_cell_angle_alpha 115.74
_cell_angle_beta 90.00
_cell_angle_gamma 90.00
loop_
_symmetry_equiv_pos_as_xyz
'x,y,z'
loop_
_atom_site_label
_atom_site_fract_x
_atom_site_fract_y
_atom_site_fract_z
C1 0.430 0.357 0.715
C2 0.430 0.113 0.227
Rh1 0.430 0.982 0.471
Rh2 0.430 0.234 0.971
Rh3 0.430 0.488 0.471
Rh4 0.930 0.099 0.201
Rh5 0.930 0.370 0.742
Mg1 0.930 0.604 0.211
Mg2 0.930 0.865 0.732
Rh6 0.430 0.734 0.971
```

Fermi-level density of states = 8.2 states/eV per cell
space-group type = Cmmm, No. 65
spin magnetization = 0.00 μB/f.u.
E = -6.726 eV/atom
E_form = -0.151 eV/atom

=====

3.
Crystalline NiMo5 at its relaxed geometry. Source: Alexandria, functional PBE.

```
data_NiMo5
_chemical_formula_sum 'Ni1 Mo5'
_symmetry_space_group_name_H-M 'P 1'
_symmetry_Int_Tables_number 1
_cell_length_a 5.150
_cell_length_b 5.150
_cell_length_c 5.150
_cell_angle_alpha 60.00
_cell_angle_beta 60.00
_cell_angle_gamma 60.00
loop_
_symmetry_equiv_pos_as_xyz
'x,y,z'
loop_
_atom_site_label
_atom_site_fract_x
_atom_site_fract_y
_atom_site_fract_z
Mo1 0.126 0.625 0.625
Ni1 0.000 0.000 0.000
Mo2 0.625 0.625 0.126
Mo3 0.625 0.126 0.625
Mo4 0.250 0.250 0.250
Mo5 0.625 0.625 0.625
```

Fermi-level density of states = 6.9 states/eV per cell
space-group type = F-43m, No. 216
spin magnetization = 0.00 μB/f.u.
E = -9.568 eV/atom
E_form = 0.422 eV/atom
energy relative to the lowest polymorph listed for this composition = 0.328 eV/atom

=====

4.
Crystalline Pr3Dy4Hg4 at its relaxed geometry. Source: Alexandria, functional PBE.

```
data_Pr3Dy4Hg4
_chemical_formula_sum 'Pr3 Dy4 Hg4'
_symmetry_space_group_name_H-M 'P 1'
_symmetry_Int_Tables_number 1
_cell_length_a 4.940
_cell_length_b 8.035
_cell_length_c 9.539
_cell_angle_alpha 114.91
_cell_angle_beta 105.01
_cell_angle_gamma 90.00
loop_
_symmetry_equiv_pos_as_xyz
'x,y,z'
loop_
_atom_site_label
_atom_site_fract_x
_atom_site_fract_y
_atom_site_fract_z
Dy1 0.327 0.116 0.653
Pr1 0.111 0.111 0.222
Hg1 0.500 0.806 0.000
Dy2 0.673 0.884 0.347
Dy3 0.673 0.463 0.347
Pr2 0.889 0.889 0.778
Pr3 0.000 0.500 0.000
Hg2 0.786 0.286 0.572
Hg3 0.214 0.714 0.428
Hg4 0.500 0.194 0.000
Dy4 0.327 0.537 0.653
```

Fermi-level density of states = 9.6 states/eV per cell
space-group type = Immm, No. 71
spin magnetization = 0.00 μB/f.u.
E = -3.377 eV/atom
E_form = -0.290 eV/atom

=====

5.
Crystalline LaPmN2 at its relaxed geometry. Source: Alexandria, functional PBE.

```
data_LaPmN2
_chemical_formula_sum 'La2 Pm2 N4'
_symmetry_space_group_name_H-M 'P 1'
_symmetry_Int_Tables_number 1
_cell_length_a 3.618
_cell_length_b 3.618
_cell_length_c 12.241
_cell_angle_alpha 90.00
_cell_angle_beta 90.00
_cell_angle_gamma 120.00
loop_
_symmetry_equiv_pos_as_xyz
'x,y,z'
loop_
_atom_site_label
_atom_site_fract_x
_atom_site_fract_y
_atom_site_fract_z
N1 0.667 0.333 0.880
Pm1 0.000 0.000 0.000
N2 0.333 0.667 0.380
Pm2 0.000 0.000 0.500
La1 0.667 0.333 0.250
N3 0.333 0.667 0.120
N4 0.667 0.333 0.620
La2 0.333 0.667 0.750
```

Fermi-level density of states = 0.0 states/eV per cell
space-group type = P6_3/mmc, No. 194
spin magnetization = 0.00 μB/f.u.
E = -7.936 eV/atom
formation energy without anion corrections = -1.354 eV/atom
energy relative to the lowest polymorph listed for this composition = 0.015 eV/atom

=====

6.
Crystalline AsIr2N at its relaxed geometry. Source: Alexandria, functional PBE.

```
data_AsIr2N
_chemical_formula_sum 'As2 Ir4 N2'
_symmetry_space_group_name_H-M 'P 1'
_symmetry_Int_Tables_number 1
_cell_length_a 4.900
_cell_length_b 4.900
_cell_length_c 6.377
_cell_angle_alpha 67.40
_cell_angle_beta 67.40
_cell_angle_gamma 90.00
loop_
_symmetry_equiv_pos_as_xyz
'x,y,z'
loop_
_atom_site_label
_atom_site_fract_x
_atom_site_fract_y
_atom_site_fract_z
Ir1 0.208 0.625 0.250
Ir2 0.542 0.125 0.250
Ir3 0.875 0.792 0.750
Ir4 0.375 0.458 0.750
N1 0.250 0.750 0.500
As1 0.750 0.250 0.500
N2 0.500 0.500 0.000
As2 0.000 0.000 0.000
```

Fermi-level density of states = 3.7 states/eV per cell
space-group type = I-42d, No. 122
spin magnetization = 0.00 μB/f.u.
E = -7.383 eV/atom
formation energy without anion corrections = 0.291 eV/atom
energy relative to the lowest polymorph listed for this composition = 0.000 eV/atom

=====

Q: Look up the E of the first one.
A: -4.445 eV/atom

=====

Q: Fermi-level density of states of number 3 (NiMo5)?
A: 6.9 states/eV per cell